The following is a PBE+U calculation of a relaxed CoBiF2 crystal, from Alexandria.

Summary:
Uncorrected energy (Ry per atom): -0.2772
Density of states at the Fermi level (states/eV/atom): 0.873
Volume (Å³/atom): 15.769

abc: 6.319 6.319 6.319
angles: 90.00 90.00 90.00
Space group Fm-3m (No. 225)
Symmetry-distinct sites (fractional):
Co (0.000, 0.000, 0.000)
Bi (0.000, 0.000, 0.500)
F (0.250, 0.250, 0.250)